{"formula": "SiRh2Br", "functional": "PBE", "state": "optimized geometry", "e_form_raw_ev_per_atom": -0.155, "e_tot_ev_per_atom": -5.604, "polymorph_energy_mev_per_atom": 171, "cell": [[-5.661, 6.172, 0.785], [-6.991, 4.024, 2.384], [-4.917, 5.765, 3.652]], "species": ["Br", "Rh", "Si", "Rh"], "frac_coords": [[0.750, 0.750, 0.750], [0.515, 0.515, 0.515], [0.250, 0.250, 0.250], [0.985, 0.985, 0.985]]}